1.
VASP calculation (GGA-PBE) on a geometry-optimized PrYAlZn structure.

The structure in extended XYZ format:
```
4
Lattice="5.1999 0.0000 0.0000 2.5999 4.5032 0.0000 2.5999 1.5011 4.2457" Properties=species:S:1:pos:R:3 pbc="T T T"
Pr 2.5999 1.5011 1.0614
Y 7.7998 4.5032 3.1843
Al 0.0000 0.0000 0.0000
Zn 5.1999 3.0022 2.1228
```

Values from the calculation:
- E: -4.418 eV per atom


2.
VASP calculation (GGA-PBE) on a geometry-optimized Pr3Al7Zn2 structure.

The structure in extended XYZ format:
```
12
Lattice="5.4087 0.0000 1.6929 2.4394 4.8273 1.6929 0.0262 0.0161 9.4030" Properties=species:S:1:pos:R:3 pbc="T T T"
Zn 2.6559 1.6336 10.4879
Zn 5.2184 3.2098 2.3009
Pr 0.0000 0.0000 0.0000
Pr 6.7562 4.1557 6.8741
Pr 1.1180 0.6877 5.9147
Al 3.3603 0.3755 8.2373
Al 4.6005 2.8298 9.0979
Al 1.8507 2.8298 8.2373
Al 4.5139 4.4679 4.5516
Al 6.0235 2.0136 4.5516
Al 3.9371 2.4217 6.3944
Al 3.2737 2.0136 3.6909
```

Values from the calculation:
- E: -4.019 eV per atom


3.
VASP calculation (GGA-PBE) on a geometry-optimized PrAl5Zn7 structure.

The structure in extended XYZ format:
```
13
Lattice="5.1812 0.0000 2.1279 2.6202 6.3205 0.9918 0.1894 -0.0575 6.9108" Properties=species:S:1:pos:R:3 pbc="T T T"
Al 2.6848 0.0024 4.4974
Al 0.1104 0.0024 3.4401
Al 1.3064 3.1402 0.5281
Al 5.9263 4.8735 7.6854
Al 3.8807 3.1402 1.5854
Zn 4.6854 4.9385 3.3350
Zn 6.2308 2.2250 6.9441
Zn 2.0757 1.3597 2.3176
Zn 3.3067 1.3209 6.6922
Zn 3.6519 4.0385 5.8515
Zn 6.9315 4.0636 5.2379
Zn 4.3379 2.2269 4.1812
Pr 2.8160 6.2460 7.8870
```

Values from the calculation:
- E: -2.631 eV per atom


4.
VASP calculation (GGA-PBE) on a geometry-optimized PrAl2Zn10 structure.

The structure in extended XYZ format:
```
13
Lattice="5.4498 0.0000 0.0000 2.7249 6.2676 0.0000 2.7249 0.0000 6.2986" Properties=species:S:1:pos:R:3 pbc="T T T"
Al 4.0873 3.1338 0.0000
Al 1.3624 3.1338 0.0000
Zn 4.0873 0.0000 3.1493
Zn 1.3624 0.0000 3.1493
Zn 5.4498 4.9159 1.3868
Zn 2.7249 1.3517 1.3868
Zn 8.1747 4.0378 2.2425
Zn 5.4498 1.3517 4.9118
Zn 5.4498 4.0378 4.0561
Zn 2.7249 2.2298 4.0561
Zn 8.1747 4.9159 4.9118
Zn 5.4498 2.2298 2.2425
Pr 0.0000 0.0000 0.0000
```

Values from the calculation:
- E: -2.093 eV per atom


5.
VASP calculation (GGA-PBE) on a geometry-optimized PrAlZn4 structure.

The structure in extended XYZ format:
```
6
Lattice="-3.1078 -1.2691 -4.2790 -5.2141 -1.3610 0.7343 -3.9451 3.3867 -1.5954" Properties=species:S:1:pos:R:3 pbc="T T T"
Zn -6.1130 1.1048 -1.0784
Zn -5.6959 -1.2147 -2.4154
Zn -7.6614 0.4726 -3.2102
Zn -5.0636 1.1506 -3.5761
Al -3.0667 0.1892 -1.2850
Pr 0.0000 0.0000 0.0000
```

Values from the calculation:
- E: -2.373 eV per atom


6.
VASP calculation (GGA-PBE) on a geometry-optimized Pr2Al2Zn structure.

The structure in extended XYZ format:
```
10
Lattice="4.6611 0.0000 0.0000 2.3305 5.4637 -0.3285 2.3305 0.2749 9.7106" Properties=species:S:1:pos:R:3 pbc="T T T"
Al 6.9916 4.9757 8.2436
Al 2.3305 0.7630 1.1385
Al 2.3305 1.6826 5.3639
Al 6.9916 4.0560 4.0181
Zn 4.6611 4.9677 3.1097
Zn 4.6611 0.7709 6.2724
Pr 4.6611 4.0271 6.2447
Pr 6.9916 1.7462 8.7218
Pr 4.6611 1.7116 3.1374
Pr 2.3305 3.9925 0.6603
```

Values from the calculation:
- E: -4.057 eV per atom


7.
VASP calculation (GGA-PBE) on a geometry-optimized PrAl2Zn3 structure.

The structure in extended XYZ format:
```
12
Lattice="-2.6812 -3.4463 0.1292 3.0780 0.6501 7.3693 -6.0175 4.6312 -1.3445" Properties=species:S:1:pos:R:3 pbc="T T T"
Al -3.3996 2.7128 1.8118
Al -3.2877 2.7840 6.0303
Al -2.3329 -0.9489 0.1236
Al -2.2211 -0.8778 4.3421
Pr -5.5949 1.7363 4.0546
Pr -0.0257 0.0987 2.0994
Zn -3.5703 0.2501 6.4280
Zn -2.0504 1.5849 -0.2740
Zn -5.4137 1.4766 0.8885
Zn -3.4553 0.0027 2.2156
Zn -2.1654 1.8323 3.9383
Zn -0.2070 0.3584 5.2654
```

Values from the calculation:
- E: -2.956 eV per atom


8.
VASP calculation (GGA-PBE) on a geometry-optimized PrAlZn2 structure.

The structure in extended XYZ format:
```
8
Lattice="-1.7446 -3.7465 2.0496 0.6715 -0.5754 -5.6717 6.2185 -2.3619 0.9759" Properties=species:S:1:pos:R:3 pbc="T T T"
Zn 2.9216 -3.4690 -3.8541
Zn -1.0189 -3.6608 -2.3675
Zn 1.9090 -0.9594 -0.1287
Zn 4.2722 -1.8570 0.2422
Pr 2.1294 -4.3648 -0.9745
Pr -0.8994 -2.2036 0.3979
Al 4.8936 -3.2945 -1.8565
Al 1.0964 -1.8522 -2.4524
```

Values from the calculation:
- E: -3.132 eV per atom